Here is a relaxed TiSnPdS2 crystal from the Alexandria database. Energies are from PBE.

Cell: 4.7762 4.8126 4.7762 Å, 90.00 90.00 90.00°
Last column: magnetic moment on the atom in μB.
Element x y z (fractional)
S  0.5000  0.0000  0.0000  0.07
S  0.0000  0.0000  0.5000  0.04
Pd  0.0000  0.0000  0.0000  0.01
Ti  0.0000  0.5000  0.0000  1.25
Sn  0.5000  0.5000  0.5000  0.02

Computed properties:
- volume (Å³/atom) = 22.0
- energy relative to the elements, uncorrected (meV per atom) = 301
- total DFT energy (no corrections) (eV/f.u.) = -23.84
- magnetization (μB per atom) = 0.34
- density of states at the Fermi level (states/eV per cell) = 5.87
- space group = P4/mmm (123)